# 1
HfZrNbHg: relaxed, PBE-GGA.

Cell: 6.9085 6.9085 6.9085 Å, 90.00 90.00 90.00°
Closest atoms and distances in Å follow each position.
Space group F-43m (No. 216)
Asymmetric unit:
1 Hf 0.0000 0.0000 0.0000 [4 per cell]  4 Hg 2.99, 4 Nb 2.99
2 Zr 0.0000 0.0000 0.5000 [4 per cell]  4 Nb 2.99, 4 Hg 2.99
3 Nb 0.2500 0.2500 0.2500 [4 per cell]  4 Zr 2.99, 4 Hf 2.99
4 Hg 0.2500 0.2500 0.7500 [4 per cell]  4 Zr 2.99, 4 Hf 2.99

Results
* M_tot: 0.0 μB/cell
* ΔH_f (0 K): 0.028 eV/atom

---

# 2
Sm3FeI3: relaxed, PBE-GGA.

Cell: 12.1914 12.1914 12.1914 Å, 90.00 90.00 90.00°
Closest atoms and distances in Å follow each position.
Space group I4_132 (No. 214)
Asymmetric unit:
1 Sm 0.1011 0.3511 0.1250 [24 per cell]  2 Fe 2.77
2 Fe 0.1250 0.1250 0.1250 [8 per cell]  6 Sm 2.77
3 I 0.1158 0.1342 0.6250 [24 per cell]  4 Sm 3.20-3.37

Results
* raw formation energy: -0.778 eV per atom
* M_tot: 0.0 μB/cell

---

# 3
Cs5K4Rb4: relaxed, PBE-GGA.

Cell: 18.7034 18.7034 7.2102 Å, 90.00 90.00 90.00°
Closest atoms and distances in Å follow each position.
Space group I4/m (No. 87)
Asymmetric unit:
1 Cs 0.0000 0.0000 0.0000 [2 per cell]  4 K 4.73
2 Cs 0.1168 0.7995 0.5000 [8 per cell]  5 K 4.87-5.16, 3 Rb 5.29-5.37
3 K 0.0765 0.2408 0.0000 [8 per cell]  3 Rb 4.64-4.66, 6 Cs 4.73-5.16
4 Rb 0.0871 0.3964 0.5000 [8 per cell]  3 K 4.64-4.66, 5 Rb 5.06-5.08

Results
* M_tot: 0.0 μB/cell
* ΔH_f (0 K): 0.022 eV/atom

---

What did the first record say?
HfZrNbHg: relaxed, PBE-GGA.

Cell: 6.9085 6.9085 6.9085 Å, 90.00 90.00 90.00°
Closest atoms and distances in Å follow each position.
Space group F-43m (No. 216)
Asymmetric unit:
1 Hf 0.0000 0.0000 0.0000 [4 per cell]  4 Hg 2.99, 4 Nb 2.99
2 Zr 0.0000 0.0000 0.5000 [4 per cell]  4 Nb 2.99, 4 Hg 2.99
3 Nb 0.2500 0.2500 0.2500 [4 per cell]  4 Zr 2.99, 4 Hf 2.99
4 Hg 0.2500 0.2500 0.7500 [4 per cell]  4 Zr 2.99, 4 Hf 2.99

Results
* M_tot: 0.0 μB/cell
* ΔH_f (0 K): 0.028 eV/atom

---

Q: What is the formula in the third record?
A: Cs5K4Rb4

---

Q: Which value of M_tot does entry 1 give?
A: 0.0 μB/cell

---

Q: Look up the M_tot of the third one.
A: 0.0 μB/cell